## Sm8ZnTe4As3 (PBE)

Data for an optimized crystal structure of Sm8ZnTe4As3.

Results
V, Å³ per atom: 28.83
Theoretical density, g/cm³: 7.21
Uncorrected energy, eV per cell: -261.23
Formation energy from raw total energies, meV/atom: -1346

Cell: 8.6074 8.6074 21.5676 Å, 90.00 90.00 120.00°
With the nearest neighbours (Å) after each atom.
Space group R-3m (No. 166, hexagonal axes)
Symmetry-distinct sites (fractional):
Sm (0.0000, 0.0000, 0.2397)  3 As 2.94, 3 Te 3.20
Sm (0.0008, 0.5004, 0.7579)  2 As 2.97, 1 Zn 2.97, 3 Te 3.17
Zn (0.0000, 0.0000, 0.5000)  6 Sm 2.97
Te (0.0000, 0.0000, 0.0000)  6 Sm 3.17
Te (0.0000, 0.5000, 0.0000)  6 Sm 3.17-3.20
As (0.0000, 0.5000, 0.5000)  6 Sm 2.94-2.97